1.
Entry from Alexandria via LeMat-Bulk: an optimized crystal structure of NdSm4In4 (GGA-PBE).

Lattice parameters (Å, degrees): 7.2448 7.2448 10.8922 90.00 90.00 90.00
With the nearest neighbours (Å) after each atom.
Sites, in units of the cell vectors:
Nd 0.2500 0.7500 0.2500  4 In 3.65, 8 Sm 4.07
Nd 0.7500 0.2500 0.7500  4 In 3.65, 8 Sm 4.07
Sm 0.0240 0.2500 0.1705  5 In 3.18-3.25, 3 Sm 3.28-3.30
Sm 0.2500 0.0240 0.6705  5 In 3.18-3.25, 3 Sm 3.28-3.30
Sm 0.2500 0.4760 0.6705  5 In 3.18-3.25, 3 Sm 3.28-3.30
Sm 0.4760 0.2500 0.1705  5 In 3.18-3.25, 3 Sm 3.28-3.30
Sm 0.5240 0.7500 0.8295  5 In 3.18-3.25, 3 Sm 3.28-3.30
Sm 0.7500 0.5240 0.3295  5 In 3.18-3.25, 3 Sm 3.28-3.30
Sm 0.7500 0.9760 0.3295  5 In 3.18-3.25, 3 Sm 3.28-3.30
Sm 0.9760 0.7500 0.8295  5 In 3.18-3.25, 3 Sm 3.28-3.30
In 0.0257 0.2500 0.4692  5 Sm 3.18-3.25, 1 In 3.25
In 0.2500 0.0257 0.9692  5 Sm 3.18-3.25, 1 In 3.25
In 0.2500 0.4743 0.9692  5 Sm 3.18-3.25, 1 In 3.25
In 0.4743 0.2500 0.4692  5 Sm 3.18-3.25, 1 In 3.25
In 0.5257 0.7500 0.5308  5 Sm 3.18-3.25, 1 In 3.25
In 0.7500 0.5257 0.0308  5 Sm 3.18-3.25, 1 In 3.25
In 0.7500 0.9743 0.0308  5 Sm 3.18-3.25, 1 In 3.25
In 0.9743 0.7500 0.5308  5 Sm 3.18-3.25, 1 In 3.25

Results
crystal system = tetragonal

2.
Entry from Alexandria via LeMat-Bulk: an optimized crystal structure of Nd2SmIn (GGA-PBE).

Lattice parameters (Å, degrees): 3.6572 3.6572 9.5670 90.00 90.00 90.00
With the nearest neighbours (Å) after each atom.
Sites, in units of the cell vectors:
Nd 0.0000 0.0000 0.2252  4 In 3.37, 4 Nd 3.66, 4 Sm 3.69
Nd 0.0000 0.0000 0.7748  4 In 3.37, 4 Nd 3.66, 4 Sm 3.69
Sm 0.5000 0.5000 0.5000  4 Sm 3.66, 8 Nd 3.69
In 0.5000 0.5000 0.0000  8 Nd 3.37, 4 In 3.66

Results
E above lowest polymorph = 55 meV/atom
crystal system = tetragonal

3.
Entry from Alexandria via LeMat-Bulk: an optimized crystal structure of Nd2Sm3In2 (GGA-PBE).

Lattice parameters (Å, degrees): 5.5252 5.5252 8.8313 108.27 108.27 60.06
With the nearest neighbours (Å) after each atom.
Sites, in units of the cell vectors:
Nd 0.0787 0.0787 0.2360  4 In 3.32-3.42, 3 Sm 3.58
Nd 0.9213 0.9213 0.7640  4 In 3.32-3.42, 3 Sm 3.58
Sm 0.3466 0.3466 0.0398  1 In 3.19, 3 Sm 3.26
Sm 0.5000 0.5000 0.5000  6 In 3.43, 2 Sm 3.79
Sm 0.6534 0.6534 0.9602  1 In 3.19, 3 Sm 3.26
In 0.2174 0.2174 0.6520  4 Sm 3.19-3.43, 4 Nd 3.32-3.42
In 0.7826 0.7826 0.3480  4 Sm 3.19-3.43, 4 Nd 3.32-3.42

Results
crystal system = monoclinic

4.
Entry from Alexandria via LeMat-Bulk: an optimized crystal structure of NdSm6In6 (GGA-PBE).

Lattice parameters (Å, degrees): 6.3444 6.3444 11.0164 90.00 90.00 120.00
With the nearest neighbours (Å) after each atom.
Sites, in units of the cell vectors:
Nd 0.0000 0.0000 0.0000  8 Sm 3.66-3.70
Sm 0.0000 0.0000 0.3362  6 In 3.33, 1 Sm 3.61, 1 Nd 3.70
Sm 0.0000 0.0000 0.6638  6 In 3.33, 1 Sm 3.61, 1 Nd 3.70
Sm 0.3333 0.6667 0.0000  6 In 3.27
Sm 0.3333 0.6667 0.5000  6 In 3.35, 3 Sm 3.66
Sm 0.6667 0.3333 0.0000  6 In 3.27
Sm 0.6667 0.3333 0.5000  6 In 3.35, 3 Sm 3.66
In 0.0000 0.5000 0.2456  4 In 3.17, 6 Sm 3.27-3.35
In 0.0000 0.5000 0.7544  4 In 3.17, 6 Sm 3.27-3.35
In 0.5000 0.0000 0.2456  4 In 3.17, 6 Sm 3.27-3.35
In 0.5000 0.0000 0.7544  4 In 3.17, 6 Sm 3.27-3.35
In 0.5000 0.5000 0.2456  4 In 3.17, 6 Sm 3.27-3.35
In 0.5000 0.5000 0.7544  4 In 3.17, 6 Sm 3.27-3.35

Results
crystal system = hexagonal

5.
Entry from Alexandria via LeMat-Bulk: an optimized crystal structure of Nd3Sm2In4 (GGA-PBE).

Lattice parameters (Å, degrees): 8.7442 8.7442 9.8429 90.00 90.00 130.64
With the nearest neighbours (Å) after each atom.
Sites, in units of the cell vectors:
Nd 0.0000 0.0000 0.0000  6 In 3.08
Nd 0.0273 0.4727 0.2500  5 In 3.19-3.27
Nd 0.4727 0.0273 0.7500  5 In 3.19-3.27
Nd 0.5000 0.5000 0.5000  6 In 3.08
Nd 0.5273 0.9727 0.2500  5 In 3.19-3.27
Nd 0.9727 0.5273 0.7500  5 In 3.19-3.27
Sm 0.1056 0.8944 0.4509  3 In 3.27-3.32, 1 Sm 3.49
Sm 0.3944 0.6056 0.9509  3 In 3.27-3.32, 1 Sm 3.49
Sm 0.6056 0.3944 0.0491  3 In 3.27-3.32, 1 Sm 3.49
Sm 0.8944 0.1056 0.5491  3 In 3.27-3.32, 1 Sm 3.49
In 0.1935 0.8065 0.0208  5 Nd 3.08-3.26, 1 Sm 3.27
In 0.2334 0.2666 0.2500  3 Nd 3.08-3.27, 2 Sm 3.32
In 0.2666 0.2334 0.7500  3 Nd 3.08-3.27, 2 Sm 3.32
In 0.3065 0.6935 0.5208  5 Nd 3.08-3.26, 1 Sm 3.27
In 0.6935 0.3065 0.4792  5 Nd 3.08-3.26, 1 Sm 3.27
In 0.7334 0.7666 0.2500  3 Nd 3.08-3.27, 2 Sm 3.32
In 0.7666 0.7334 0.7500  3 Nd 3.08-3.27, 2 Sm 3.32
In 0.8065 0.1935 0.9792  5 Nd 3.08-3.26, 1 Sm 3.27

Results
E above lowest polymorph = 148 meV/atom
crystal system = orthorhombic

6.
Entry from Alexandria via LeMat-Bulk: an optimized crystal structure of Nd7Sm3In (GGA-PBE).

Lattice parameters (Å, degrees): 7.1450 7.1450 8.7203 90.00 90.00 120.00
With the nearest neighbours (Å) after each atom.
Sites, in units of the cell vectors:
Nd 0.0000 0.0000 0.0000  3 Sm 3.54, 9 Nd 3.57-3.59
Nd 0.1646 0.3292 0.6617  7 Nd 3.53-3.62, 2 Sm 3.54, 2 In 3.57
Nd 0.1646 0.8354 0.6617  7 Nd 3.53-3.62, 2 Sm 3.54, 2 In 3.57
Nd 0.5024 0.0047 0.9882  8 Nd 3.52-3.62, 1 In 3.54, 2 Sm 3.62
Nd 0.5024 0.4976 0.9882  8 Nd 3.52-3.62, 1 In 3.54, 2 Sm 3.62
Nd 0.6708 0.8354 0.6617  7 Nd 3.53-3.62, 2 Sm 3.54, 2 In 3.57
Nd 0.9953 0.4976 0.9882  8 Nd 3.52-3.62, 1 In 3.54, 2 Sm 3.62
Sm 0.3335 0.1668 0.3302  1 In 3.51, 5 Nd 3.54-3.62, 4 Sm 3.57
Sm 0.8332 0.1668 0.3302  1 In 3.51, 5 Nd 3.54-3.62, 4 Sm 3.57
Sm 0.8332 0.6665 0.3302  1 In 3.51, 5 Nd 3.54-3.62, 4 Sm 3.57
In 0.6667 0.3333 0.6554  3 Sm 3.51, 9 Nd 3.54-3.57

Results
crystal system = trigonal

7.
Entry from Alexandria via LeMat-Bulk: an optimized crystal structure of NdSm5In6 (GGA-PBE).

Lattice parameters (Å, degrees): 9.3993 9.3993 5.4235 106.73 106.73 120.07
With the nearest neighbours (Å) after each atom.
Sites, in units of the cell vectors:
Nd 0.0000 0.0000 0.0000  8 In 3.34-3.35
Sm 0.1653 0.8347 0.5000  8 In 3.32-3.33
Sm 0.3328 0.6672 0.0000  8 In 3.31-3.32
Sm 0.5000 0.5000 0.5000  8 In 3.30-3.33
Sm 0.6672 0.3328 0.0000  8 In 3.31-3.32
Sm 0.8347 0.1653 0.5000  8 In 3.32-3.33
In 0.0843 0.4196 0.2520  7 Sm 3.31-3.33, 1 Nd 3.35
In 0.2538 0.2538 0.7537  6 Sm 3.30-3.32, 2 Nd 3.34
In 0.4196 0.0843 0.2520  7 Sm 3.31-3.33, 1 Nd 3.35
In 0.5804 0.9157 0.7480  7 Sm 3.31-3.33, 1 Nd 3.35
In 0.7462 0.7462 0.2463  6 Sm 3.30-3.32, 2 Nd 3.34
In 0.9157 0.5804 0.7480  7 Sm 3.31-3.33, 1 Nd 3.35

Results
crystal system = monoclinic

8.
Entry from Alexandria via LeMat-Bulk: an optimized crystal structure of Nd12Sm2In (GGA-PBE).

Lattice parameters (Å, degrees): 6.7576 6.7576 23.9032 90.00 90.00 90.00
With the nearest neighbours (Å) after each atom.
Sites, in units of the cell vectors:
Nd 0.0040 0.5040 0.0918  2 In 3.22-3.27, 6 Nd 3.38-3.51
Nd 0.0040 0.9960 0.9082  2 In 3.22-3.27, 6 Nd 3.38-3.51
Nd 0.0840 0.5840 0.5654  2 Nd 3.17-3.52
Nd 0.0840 0.9160 0.4346  2 Nd 3.17-3.52
Nd 0.2500 0.2500 0.1997  1 Nd 3.08
Nd 0.2500 0.2500 0.3283  1 Nd 3.08
Nd 0.2500 0.2500 0.6717  1 Nd 3.08
Nd 0.2500 0.2500 0.8003  1 Nd 3.08
Nd 0.4160 0.5840 0.4346  2 Nd 3.17-3.52
Nd 0.4160 0.9160 0.5654  2 Nd 3.17-3.52
Nd 0.4960 0.5040 0.9082  2 In 3.22-3.27, 6 Nd 3.38-3.51
Nd 0.4960 0.9960 0.0918  2 In 3.22-3.27, 6 Nd 3.38-3.51
Nd 0.5040 0.0040 0.9082  2 In 3.22-3.27, 6 Nd 3.38-3.51
Nd 0.5040 0.4960 0.0918  2 In 3.22-3.27, 6 Nd 3.38-3.51
Nd 0.5840 0.0840 0.4346  2 Nd 3.17-3.52
Nd 0.5840 0.4160 0.5654  2 Nd 3.17-3.52
Nd 0.7500 0.7500 0.1997  1 Nd 3.08
Nd 0.7500 0.7500 0.3283  1 Nd 3.08
Nd 0.7500 0.7500 0.6717  1 Nd 3.08
Nd 0.7500 0.7500 0.8003  1 Nd 3.08
Nd 0.9160 0.0840 0.5654  2 Nd 3.17-3.52
Nd 0.9160 0.4160 0.4346  2 Nd 3.17-3.52
Nd 0.9960 0.0040 0.0918  2 In 3.22-3.27, 6 Nd 3.38-3.51
Nd 0.9960 0.4960 0.9082  2 In 3.22-3.27, 6 Nd 3.38-3.51
Sm 0.2500 0.7500 0.2479  8 Nd 3.57-3.89
Sm 0.2500 0.7500 0.7521  8 Nd 3.57-3.89
Sm 0.7500 0.2500 0.2479  8 Nd 3.57-3.89
Sm 0.7500 0.2500 0.7521  8 Nd 3.57-3.89
In 0.2500 0.7500 0.0000  8 Nd 3.22-3.27
In 0.7500 0.2500 0.0000  8 Nd 3.22-3.27

Results
crystal system = tetragonal

9.
Entry from Alexandria via LeMat-Bulk: an optimized crystal structure of Nd2SmIn (GGA-PBE).

Lattice parameters (Å, degrees): 4.9599 4.9599 4.9944 90.00 90.00 90.00
With the nearest neighbours (Å) after each atom.
Sites, in units of the cell vectors:
Nd 0.0000 0.5000 0.0000  4 Nd 3.51, 4 In 3.52, 4 Sm 3.52
Nd 0.5000 0.0000 0.0000  4 Nd 3.51, 4 In 3.52, 4 Sm 3.52
Sm 0.0000 0.0000 0.5000  4 In 3.51, 8 Nd 3.52
In 0.5000 0.5000 0.5000  4 Sm 3.51, 8 Nd 3.52

Results
E above lowest polymorph = 0 meV/atom
crystal system = tetragonal

10.
Entry from Alexandria via LeMat-Bulk: an optimized crystal structure of Nd6SmIn3 (GGA-PBE).

Lattice parameters (Å, degrees): 9.5205 9.5205 7.9196 90.00 90.00 111.26
With the nearest neighbours (Å) after each atom.
Sites, in units of the cell vectors:
Nd 0.0481 0.9519 0.5000  4 In 3.43-3.53, 1 Sm 3.45, 6 Nd 3.45-3.75
Nd 0.0773 0.4530 0.0033  3 In 3.17-3.32, 1 Sm 3.39, 1 Nd 3.47
Nd 0.2296 0.2970 0.6903  4 In 3.26-3.42, 3 Nd 3.45-3.59
Nd 0.2970 0.2296 0.1903  4 In 3.26-3.42, 3 Nd 3.45-3.59
Nd 0.3053 0.6947 0.6622  3 In 3.35-3.47, 6 Nd 3.59-3.70
Nd 0.4530 0.0773 0.5033  3 In 3.17-3.32, 1 Sm 3.39, 1 Nd 3.47
Nd 0.5470 0.9227 0.0033  3 In 3.17-3.32, 1 Sm 3.39, 1 Nd 3.47
Nd 0.6947 0.3053 0.1622  3 In 3.35-3.47, 6 Nd 3.59-3.70
Nd 0.7030 0.7704 0.6903  4 In 3.26-3.42, 3 Nd 3.45-3.59
Nd 0.7704 0.7030 0.1903  4 In 3.26-3.42, 3 Nd 3.45-3.59
Nd 0.9227 0.5470 0.5033  3 In 3.17-3.32, 1 Sm 3.39, 1 Nd 3.47
Nd 0.9519 0.0481 0.0000  4 In 3.43-3.53, 1 Sm 3.45, 6 Nd 3.45-3.75
Sm 0.2112 0.7888 0.2074  2 In 3.34, 5 Nd 3.39-3.71
Sm 0.7888 0.2112 0.7074  2 In 3.34, 5 Nd 3.39-3.71
In 0.0065 0.2759 0.3633  1 In 3.03, 4 Nd 3.17-3.31, 1 Sm 3.34
In 0.2759 0.0065 0.8633  1 In 3.03, 4 Nd 3.17-3.31, 1 Sm 3.34
In 0.4484 0.5516 0.9763  7 Nd 3.32-3.42
In 0.5516 0.4484 0.4763  7 Nd 3.32-3.42
In 0.7241 0.9935 0.3633  1 In 3.03, 4 Nd 3.17-3.31, 1 Sm 3.34
In 0.9935 0.7241 0.8633  1 In 3.03, 4 Nd 3.17-3.31, 1 Sm 3.34

Results
E above lowest polymorph = 113 meV/atom
crystal system = orthorhombic

11.
Entry from Alexandria via LeMat-Bulk: an optimized crystal structure of Nd6Sm8In (GGA-PBE).

Lattice parameters (Å, degrees): 9.4726 9.4726 6.6089 90.00 90.00 120.00
With the nearest neighbours (Å) after each atom.
Sites, in units of the cell vectors:
Nd 0.0910 0.4453 0.3279  1 Nd 3.32, 5 Sm 3.38-3.69
Nd 0.3543 0.9090 0.3279  1 Nd 3.32, 5 Sm 3.38-3.69
Nd 0.4453 0.3543 0.6721  1 Nd 3.32, 5 Sm 3.38-3.69
Nd 0.5547 0.6457 0.3279  1 Nd 3.32, 5 Sm 3.38-3.69
Nd 0.6457 0.0910 0.6721  1 Nd 3.32, 5 Sm 3.38-3.69
Nd 0.9090 0.5547 0.6721  1 Nd 3.32, 5 Sm 3.38-3.69
Sm 0.0394 0.2663 0.8180  1 In 3.16, 3 Sm 3.37-3.41, 1 Nd 3.38
Sm 0.2269 0.9606 0.8180  1 In 3.16, 3 Sm 3.37-3.41, 1 Nd 3.38
Sm 0.2663 0.2269 0.1820  1 In 3.16, 3 Sm 3.37-3.41, 1 Nd 3.38
Sm 0.3333 0.6667 0.8595  3 Sm 3.41, 6 Nd 3.80-3.82
Sm 0.6667 0.3333 0.1405  3 Sm 3.41, 6 Nd 3.80-3.82
Sm 0.7337 0.7731 0.8180  1 In 3.16, 3 Sm 3.37-3.41, 1 Nd 3.38
Sm 0.7731 0.0394 0.1820  1 In 3.16, 3 Sm 3.37-3.41, 1 Nd 3.38
Sm 0.9606 0.7337 0.1820  1 In 3.16, 3 Sm 3.37-3.41, 1 Nd 3.38
In 0.0000 0.0000 0.5000  6 Sm 3.16

Results
crystal system = trigonal

12.
Entry from Alexandria via LeMat-Bulk: an optimized crystal structure of Nd5Sm2In4 (GGA-PBE).

Lattice parameters (Å, degrees): 8.8205 3.4967 10.7835 90.00 95.49 90.00
With the nearest neighbours (Å) after each atom.
Sites, in units of the cell vectors:
Nd 0.0000 0.0000 0.0000  4 In 3.33, 6 Nd 3.50-3.59
Nd 0.0409 0.0000 0.3342  1 Sm 3.31, 4 In 3.34-3.54, 3 Nd 3.50-3.59
Nd 0.3419 0.0000 0.8589  1 Sm 3.34, 6 In 3.38-3.61, 3 Nd 3.50
Nd 0.6581 0.0000 0.1411  1 Sm 3.34, 6 In 3.38-3.61, 3 Nd 3.50
Nd 0.9591 0.0000 0.6658  1 Sm 3.31, 4 In 3.34-3.54, 3 Nd 3.50-3.59
Sm 0.4181 0.0000 0.3629  3 Sm 3.16-3.50, 6 In 3.22-3.39, 2 Nd 3.31-3.34
Sm 0.5819 0.0000 0.6371  3 Sm 3.16-3.50, 6 In 3.22-3.39, 2 Nd 3.31-3.34
In 0.2531 0.5000 0.5784  6 Nd 3.34-3.54, 4 Sm 3.35-3.39, 2 In 3.50
In 0.2988 0.5000 0.1219  2 Sm 3.22, 6 Nd 3.33-3.61, 2 In 3.50
In 0.7012 0.5000 0.8781  2 Sm 3.22, 6 Nd 3.33-3.61, 2 In 3.50
In 0.7469 0.5000 0.4216  6 Nd 3.34-3.54, 4 Sm 3.35-3.39, 2 In 3.50

Results
crystal system = monoclinic

| no. | M_tot (μB per cell) | DFT formation energy (eV/atom) |
| --- | --- | --- |
| 1 | 0.000 | -0.164 |
| 2 | 0.000 | -0.217 |
| 3 | 0.000 | -0.271 |
| 4 | 1.748 | -0.345 |
| 5 | 0.001 | -0.266 |
| 6 | 0.000 | 0.091 |
| 7 | 0.000 | -0.492 |
| 8 | 0.000 | 0.215 |
| 9 | 0.034 | -0.272 |
| 10 | 0.000 | -0.153 |
| 11 | 0.000 | 0.059 |
| 12 | 0.001 | -0.293 |